A relaxed CeBiRu crystal. Source: Alexandria, functional PBE. Values from VASP.

Output
For the energy of formation from the pure elements, the calculation gives -1.28 eV/f.u. As for the total energy: -20.368 eV per formula unit. As for the density of states at the Fermi level: 6.01 states/eV per cell.

Cell and atoms, written as Quantum ESPRESSO input:
```
&SYSTEM
  ibrav = 0, nat = 6, ntyp = 3
/
ATOMIC_SPECIES
Ce 140.12 Ce.upf
Ru 101.07 Ru.upf
Bi 208.98 Bi.upf
ATOMIC_POSITIONS crystal
Ce 0.6055 0.2111 0.2147
Ce 0.3945 0.7889 0.7853
Ru 0.3250 0.6501 0.4321
Ru 0.6750 0.3499 0.5679
Bi 0.8831 0.7663 0.2121
Bi 0.1169 0.2337 0.7879
CELL_PARAMETERS angstrom
-2.4350 4.1456 -0.4544
0.8989 -1.6029 6.2212
4.7058 2.8631 0.9036
```

***

A relaxed Ce12Bi6Ru crystal. Source: Alexandria, functional PBE. Values from VASP.

Output
For the energy of formation from the pure elements, the calculation gives -7.23 eV/f.u. As for the total energy: -111.000 eV per formula unit. As for the density of states at the Fermi level: 54.04 states/eV per cell.

Cell and atoms, written as Quantum ESPRESSO input:
```
&SYSTEM
  ibrav = 0, nat = 19, ntyp = 3
/
ATOMIC_SPECIES
Bi 208.98 Bi.upf
Ce 140.12 Ce.upf
Ru 101.07 Ru.upf
ATOMIC_POSITIONS crystal
Bi 0.1689 0.7467 0.3388
Bi 0.2533 0.6612 0.8311
Bi 0.3388 0.1689 0.7467
Bi 0.6612 0.8311 0.2533
Bi 0.8311 0.2533 0.6612
Bi 0.7467 0.3388 0.1689
Ce 0.0026 0.0919 0.3296
Ce 0.4931 0.1689 0.4010
Ce 0.5069 0.8311 0.5990
Ce 0.3296 0.0026 0.0919
Ce 0.6704 0.9974 0.9081
Ce 0.9974 0.9081 0.6704
Ce 0.0919 0.3296 0.0026
Ce 0.4010 0.4931 0.1689
Ce 0.1689 0.4010 0.4931
Ce 0.8311 0.5990 0.5069
Ce 0.9081 0.6704 0.9974
Ce 0.5990 0.5069 0.8311
Ru 0.0000 0.0000 0.0000
CELL_PARAMETERS angstrom
-5.3134 -1.9961 6.0942
4.7443 -6.8365 0.3315
4.9510 5.0451 4.4035
```

***

A relaxed Ce5Bi2Ru2 crystal. Source: Alexandria, functional PBE. Values from VASP.

Output
For the energy of formation from the pure elements, the calculation gives -3.72 eV/f.u. As for the total energy: -59.706 eV per formula unit. As for the density of states at the Fermi level: 22.43 states/eV per cell.

Cell and atoms, written as Quantum ESPRESSO input:
```
&SYSTEM
  ibrav = 0, nat = 9, ntyp = 3
/
ATOMIC_SPECIES
Ru 101.07 Ru.upf
Ce 140.12 Ce.upf
Bi 208.98 Bi.upf
ATOMIC_POSITIONS crystal
Ru 0.1706 0.3412 0.1307
Ru 0.8294 0.6588 0.8693
Ce 0.8118 0.6237 0.3812
Ce 0.3431 0.6862 0.1317
Ce 0.1882 0.3763 0.6188
Ce 0.6569 0.3138 0.8683
Ce 0.0000 0.0000 0.0000
Bi 0.4181 0.8361 0.6730
Bi 0.5819 0.1639 0.3270
CELL_PARAMETERS angstrom
5.0110 0.0000 0.0000
-2.5055 7.7032 -0.1093
0.0000 -1.7138 6.2338
```

***

A relaxed Ce5Bi5Ru crystal. Source: Alexandria, functional PBE. Values from VASP.

Output
For the energy of formation from the pure elements, the calculation gives -4.88 eV/f.u. As for the total energy: -63.235 eV per formula unit. As for the density of states at the Fermi level: 17.25 states/eV per cell.

Cell and atoms, written as Quantum ESPRESSO input:
```
&SYSTEM
  ibrav = 0, nat = 11, ntyp = 3
/
ATOMIC_SPECIES
Bi 208.98 Bi.upf
Ce 140.12 Ce.upf
Ru 101.07 Ru.upf
ATOMIC_POSITIONS crystal
Bi 0.3134 0.6268 0.6637
Bi 0.6541 0.3081 0.8043
Bi 0.3459 0.6919 0.1957
Bi 0.0000 0.0000 0.5000
Bi 0.6866 0.3732 0.3363
Ce 0.1499 0.2997 0.3001
Ce 0.5000 0.0000 0.0000
Ce 0.1477 0.2954 0.8577
Ce 0.8501 0.7003 0.6999
Ce 0.8523 0.7046 0.1423
Ru 0.0000 0.0000 0.0000
CELL_PARAMETERS angstrom
6.3089 0.0000 0.0000
-3.1544 7.0441 -0.1602
0.0000 -2.8271 8.3053
```

***

A relaxed Ce8Bi2Ru3 crystal. Source: Alexandria, functional PBE. Values from VASP.

Output
For the energy of formation from the pure elements, the calculation gives -3.18 eV/f.u. As for the total energy: -86.240 eV per formula unit. As for the density of states at the Fermi level: 32.20 states/eV per cell.

Cell and atoms, written as Quantum ESPRESSO input:
```
&SYSTEM
  ibrav = 0, nat = 13, ntyp = 3
/
ATOMIC_SPECIES
Ce 140.12 Ce.upf
Ru 101.07 Ru.upf
Bi 208.98 Bi.upf
ATOMIC_POSITIONS crystal
Ce 0.6142 0.6156 0.8019
Ce 0.1616 0.8409 0.6818
Ce 0.1260 0.4185 0.8369
Ce 0.3858 0.3844 0.1981
Ce 0.3858 0.8137 0.1981
Ce 0.8740 0.5815 0.1631
Ce 0.8384 0.1591 0.3182
Ce 0.6142 0.1863 0.8019
Ru 0.5000 0.0000 0.0000
Ru 0.0000 0.1990 0.0000
Ru 0.0000 0.8010 0.0000
Bi 0.6754 0.7495 0.4990
Bi 0.3246 0.2505 0.5010
CELL_PARAMETERS angstrom
6.0312 0.0000 0.8793
0.0000 6.7440 0.0000
-1.5146 -3.3720 8.4329
```

***

A relaxed Ce3Bi2Ru2 crystal. Source: Alexandria, functional PBE. Values from VASP.

Output
For the energy of formation from the pure elements, the calculation gives -2.50 eV/f.u. As for the total energy: -46.613 eV per formula unit. As for the density of states at the Fermi level: 9.14 states/eV per cell.

Cell and atoms, written as Quantum ESPRESSO input:
```
&SYSTEM
  ibrav = 0, nat = 7, ntyp = 3
/
ATOMIC_SPECIES
Bi 208.98 Bi.upf
Ce 140.12 Ce.upf
Ru 101.07 Ru.upf
ATOMIC_POSITIONS crystal
Bi 0.8356 0.7720 0.6157
Bi 0.1644 0.2280 0.3843
Ce 0.0000 0.0000 0.0000
Ce 0.7739 0.5746 0.2107
Ce 0.2261 0.4254 0.7893
Ru 0.5070 0.1354 0.8424
Ru 0.4930 0.8646 0.1576
CELL_PARAMETERS angstrom
-3.7408 0.8858 -1.0242
-0.2464 -1.4639 5.6176
2.7658 8.6964 -1.2050
```

***

A relaxed CeBiRu crystal. Source: Alexandria, functional PBE. Values from VASP.

Output
For the energy of formation from the pure elements, the calculation gives -1.13 eV/f.u. As for the total energy: -20.225 eV per formula unit. As for the density of states at the Fermi level: 12.45 states/eV per cell.

Cell and atoms, written as Quantum ESPRESSO input:
```
&SYSTEM
  ibrav = 0, nat = 12, ntyp = 3
/
ATOMIC_SPECIES
Bi 208.98 Bi.upf
Ru 101.07 Ru.upf
Ce 140.12 Ce.upf
ATOMIC_POSITIONS crystal
Bi 0.7500 0.6312 0.2732
Bi 0.2500 0.1312 0.2268
Bi 0.7500 0.8688 0.7732
Bi 0.2500 0.3688 0.7268
Ru 0.7500 0.0096 0.1166
Ru 0.2500 0.5096 0.3834
Ru 0.2500 0.9904 0.8834
Ru 0.7500 0.4904 0.6166
Ce 0.2500 0.7938 0.5242
Ce 0.7500 0.2062 0.4758
Ce 0.7500 0.2938 0.9758
Ce 0.2500 0.7062 0.0242
CELL_PARAMETERS angstrom
5.1612 0.0000 0.0000
0.0000 7.3992 0.0000
0.0000 0.0000 7.8467
```

***

A relaxed CeBiRu crystal. Source: Alexandria, functional PBE. Values from VASP.

Output
For the energy of formation from the pure elements, the calculation gives -0.51 eV/f.u. As for the total energy: -19.604 eV per formula unit. As for the density of states at the Fermi level: 1.35 states/eV per cell.

Cell and atoms, written as Quantum ESPRESSO input:
```
&SYSTEM
  ibrav = 0, nat = 3, ntyp = 3
/
ATOMIC_SPECIES
Ce 140.12 Ce.upf
Ru 101.07 Ru.upf
Bi 208.98 Bi.upf
ATOMIC_POSITIONS crystal
Ce 0.9037 0.9037 0.8075
Ru 0.3395 0.3395 0.6789
Bi 0.6068 0.6068 0.2136
CELL_PARAMETERS angstrom
3.7917 0.0000 0.0000
0.0000 3.7917 0.0000
-1.8958 -1.8958 5.2900
```